Entry from the Alexandria database: crystalline LiBiRhAu at its relaxed geometry (GGA-PBE).

Lattice parameters (Å, degrees): 6.590 6.590 6.590 90.00 90.00 90.00
Element x y z (fractional)
1 Li 0.000 0.000 0.000
2 Li 0.000 0.500 0.500
3 Li 0.500 0.000 0.500
4 Li 0.500 0.500 0.000
5 Bi 0.250 0.250 0.750
6 Bi 0.250 0.750 0.250
7 Bi 0.750 0.250 0.250
8 Bi 0.750 0.750 0.750
9 Rh 0.000 0.000 0.500
10 Rh 0.000 0.500 0.000
11 Rh 0.500 0.000 0.000
12 Rh 0.500 0.500 0.500
13 Au 0.250 0.250 0.250
14 Au 0.250 0.750 0.750
15 Au 0.750 0.250 0.750
16 Au 0.750 0.750 0.250

## Properties
Density of states at the Fermi level = 9.75 states/eV/cell
ΔE_f = -0.249 eV per atom
ρ = 12.0 g/cm³


Entry from the Alexandria database: crystalline Li2BiRuAu at its relaxed geometry (GGA-PBE).

Lattice parameters (Å, degrees): 4.533 4.533 5.154 90.00 90.00 90.00
Element x y z (fractional)
1 Li 0.000 0.500 0.000
2 Li 0.500 0.000 0.000
3 Bi 0.000 0.000 0.500
4 Ru 0.500 0.500 0.500
5 Au 0.500 0.500 0.000

## Properties
Density of states at the Fermi level = 5.20 states/eV/cell
ΔE_f = 0.336 eV per atom
ρ = 8.2 g/cm³


Entry from the Alexandria database: crystalline LiBiAuS2 at its relaxed geometry (GGA-PBE).

Lattice parameters (Å, degrees): 4.625 4.625 4.693 90.00 90.00 90.00
Element x y z (fractional)
1 Li 0.000 0.000 0.000
2 Bi 0.500 0.500 0.500
3 Au 0.000 0.000 0.500
4 S 0.000 0.500 0.000
5 S 0.500 0.000 0.000

## Properties
Final energy = -0.1218 Ha/atom
Density of states at the Fermi level = 3.73 states/eV/cell
ρ = 7.9 g/cm³


Entry from the Alexandria database: crystalline LiScBi2Au at its relaxed geometry (GGA-PBE).

Lattice parameters (Å, degrees): 5.127 5.127 4.586 90.00 90.00 90.00
Element x y z (fractional)
1 Li 0.000 0.000 0.000
2 Sc 0.500 0.500 0.500
3 Bi 0.000 0.500 0.000
4 Bi 0.500 0.000 0.000
5 Au 0.000 0.000 0.500

## Properties
Density of states at the Fermi level = 2.88 states/eV/cell
ΔE_f = 0.001 eV per atom
ρ = 9.2 g/cm³


Entry from the Alexandria database: crystalline LiSiBiAu2 at its relaxed geometry (GGA-PBE).

Lattice parameters (Å, degrees): 4.749 4.749 5.703 90.00 90.00 90.00
Element x y z (fractional)
1 Li 0.000 0.000 0.000
2 Si 0.500 0.500 0.500
3 Bi 0.500 0.500 0.000
4 Au 0.000 0.500 0.500
5 Au 0.500 0.000 0.500

## Properties
Final energy = -0.1257 Ha/atom
Density of states at the Fermi level = 2.27 states/eV/cell
ρ = 8.2 g/cm³


Entry from the Alexandria database: crystalline LiSmBiAu at its relaxed geometry (GGA-PBE).

Lattice parameters (Å, degrees): 7.331 7.331 7.331 90.00 90.00 90.00
Element x y z (fractional)
1 Li 0.000 0.000 0.000
2 Li 0.000 0.500 0.500
3 Li 0.500 0.000 0.500
4 Li 0.500 0.500 0.000
5 Sm 0.000 0.000 0.500
6 Sm 0.000 0.500 0.000
7 Sm 0.500 0.000 0.000
8 Sm 0.500 0.500 0.500
9 Bi 0.250 0.250 0.750
10 Bi 0.250 0.750 0.250
11 Bi 0.750 0.250 0.250
12 Bi 0.750 0.750 0.750
13 Au 0.250 0.250 0.250
14 Au 0.250 0.750 0.750
15 Au 0.750 0.250 0.750
16 Au 0.750 0.750 0.250

## Properties
Density of states at the Fermi level = 5.96 states/eV/cell
ΔE_f = -0.650 eV per atom
ρ = 9.5 g/cm³


Entry from the Alexandria database: crystalline LiSnBiAu at its relaxed geometry (GGA-PBE).

Lattice parameters (Å, degrees): 7.184 7.184 7.184 90.00 90.00 90.00
Element x y z (fractional)
1 Li 0.000 0.000 0.000
2 Li 0.000 0.500 0.500
3 Li 0.500 0.000 0.500
4 Li 0.500 0.500 0.000
5 Sn 0.250 0.250 0.750
6 Sn 0.250 0.750 0.250
7 Sn 0.750 0.250 0.250
8 Sn 0.750 0.750 0.750
9 Bi 0.250 0.250 0.250
10 Bi 0.250 0.750 0.750
11 Bi 0.750 0.250 0.750
12 Bi 0.750 0.750 0.250
13 Au 0.000 0.000 0.500
14 Au 0.000 0.500 0.000
15 Au 0.500 0.000 0.000
16 Au 0.500 0.500 0.500

## Properties
Density of states at the Fermi level = 5.75 states/eV/cell
ΔE_f = -0.170 eV per atom
ρ = 9.5 g/cm³


Entry from the Alexandria database: crystalline Sr2LiBi4Au3 at its relaxed geometry (GGA-PBE).

Lattice parameters (Å, degrees): 4.775 4.775 12.547 90.00 90.00 90.00
Element x y z (fractional)
1 Sr 0.000 0.500 0.244
2 Sr 0.500 0.000 0.756
3 Li 0.500 0.500 0.000
4 Bi 0.000 0.000 0.500
5 Bi 0.000 0.500 0.869
6 Bi 0.500 0.000 0.131
7 Bi 0.500 0.500 0.500
8 Au 0.000 0.000 0.000
9 Au 0.000 0.500 0.648
10 Au 0.500 0.000 0.352

## Properties
Density of states at the Fermi level = 3.78 states/eV/cell
ΔE_f = -0.518 eV per atom
ρ = 9.3 g/cm³